(1)
First-principles (PBE) data for a geometry-optimized Zr2BeW structure, as listed in Alexandria.

For the energy relative to the elements, the calculation gives 0.89 eV per formula unit.

```
data_Zr2BeW
_chemical_formula_sum 'Zr2 Be1 W1'
_cell_length_a 2.849
_cell_length_b 2.849
_cell_length_c 8.621
_cell_angle_alpha 90.00
_cell_angle_beta 90.00
_cell_angle_gamma 90.00
_space_group_name_H-M_alt 'P 4/m m m'
_space_group_IT_number 123
_space_group_name_Hall '-P 4 2'
loop_
_atom_site_label
_atom_site_type_symbol
_atom_site_fract_x
_atom_site_fract_y
_atom_site_fract_z
Zr1 Zr 0.000 0.000 0.219
Be1 Be 0.500 0.500 0.000
W1 W 0.500 0.500 0.500
```

(2)
First-principles (PBE) data for a geometry-optimized La6Ge3O2 structure, as listed in Alexandria.

Its formation energy from raw total energies is -1533 meV per atom.

```
data_La6Ge3O2
_chemical_formula_sum 'La12 Ge6 O4'
_cell_length_a 4.832
_cell_length_b 4.832
_cell_length_c 25.142
_cell_angle_alpha 90.00
_cell_angle_beta 90.00
_cell_angle_gamma 90.00
_space_group_name_H-M_alt 'I 4/m m m'
_space_group_IT_number 139
_space_group_name_Hall '-I 4 2'
loop_
_atom_site_label
_atom_site_type_symbol
_atom_site_fract_x
_atom_site_fract_y
_atom_site_fract_z
La1 La 0.000 0.000 0.200
La2 La 0.000 0.500 0.080
Ge1 Ge 0.000 0.000 0.326
Ge2 Ge 0.000 0.000 0.500
O1 O 0.000 0.000 0.104
```

(3)
First-principles (PBE) data for a geometry-optimized LaPrHoEr structure, as listed in Alexandria.

For the energy above the most stable polymorph in this dataset, the calculation gives 0 meV/atom. For the energy relative to the elements, the calculation gives 0.36 eV per formula unit.

```
data_LaPrHoEr
_chemical_formula_sum 'La4 Pr4 Ho4 Er4'
_cell_length_a 8.164
_cell_length_b 8.164
_cell_length_c 8.164
_cell_angle_alpha 90.00
_cell_angle_beta 90.00
_cell_angle_gamma 90.00
_space_group_name_H-M_alt 'F -4 3 m'
_space_group_IT_number 216
_space_group_name_Hall 'F -4 2 3'
loop_
_atom_site_label
_atom_site_type_symbol
_atom_site_fract_x
_atom_site_fract_y
_atom_site_fract_z
La1 La 0.000 0.000 0.000
Pr1 Pr 0.000 0.000 0.500
Ho1 Ho 0.250 0.250 0.750
Er1 Er 0.250 0.250 0.250
```

(4)
First-principles (PBE) data for a geometry-optimized EuTlInPd structure, as listed in Alexandria.

For the energy relative to the elements, the calculation gives -1.52 eV per formula unit.

```
data_EuTlInPd
_chemical_formula_sum 'Eu4 Tl4 In4 Pd4'
_cell_length_a 7.274
_cell_length_b 7.274
_cell_length_c 7.274
_cell_angle_alpha 90.00
_cell_angle_beta 90.00
_cell_angle_gamma 90.00
_space_group_name_H-M_alt 'F -4 3 m'
_space_group_IT_number 216
_space_group_name_Hall 'F -4 2 3'
loop_
_atom_site_label
_atom_site_type_symbol
_atom_site_fract_x
_atom_site_fract_y
_atom_site_fract_z
Eu1 Eu 0.000 0.000 0.000
Tl1 Tl 0.250 0.250 0.750
In1 In 0.000 0.000 0.500
Pd1 Pd 0.250 0.250 0.250
```